[1]
Density functional theory data (PBE with a Hubbard U) for a geometry-optimized BeNiPdO4 structure.

Geometry as CIF:
```
data_BeNiPdO4
_chemical_formula_sum 'Be4 Ni4 Pd4 O16'
_symmetry_space_group_name_H-M 'I m m a'
_symmetry_Int_Tables_number 74
_symmetry_space_group_name_Hall '-I 2b 2'
_cell_length_a 5.659
_cell_length_b 5.809
_cell_length_c 8.169
_cell_angle_alpha 90.00
_cell_angle_beta 90.00
_cell_angle_gamma 90.00
loop_
_atom_site_label
_atom_site_type_symbol
_atom_site_fract_x
_atom_site_fract_y
_atom_site_fract_z
_atom_site_occupancy
Be1 Be 0.000 0.250 0.148 1
Ni1 Ni 0.250 0.250 0.750 1
Pd1 Pd 0.000 0.000 0.500 1
O1 O 0.000 0.006 0.250 1
O2 O 0.246 0.250 0.006 1
```

---

[2]
Density functional theory data (PBE with a Hubbard U) for a geometry-optimized Pm2Be2NiO6 structure.

Geometry as CIF:
```
data_Pm2Be2NiO6
_chemical_formula_sum 'Pm6 Be6 Ni3 O18'
_symmetry_space_group_name_H-M 'R -3 m'
_symmetry_Int_Tables_number 166
_symmetry_space_group_name_Hall '-R 3 2"'
_cell_length_a 5.2498
_cell_length_b 5.2498
_cell_length_c 15.6047
_cell_angle_alpha 90.00
_cell_angle_beta 90.00
_cell_angle_gamma 120.00
loop_
_atom_site_label
_atom_site_type_symbol
_atom_site_fract_x
_atom_site_fract_y
_atom_site_fract_z
_atom_site_occupancy
Pm1 Pm 0.0000 0.0000 0.2137 1
Be1 Be 0.0000 0.0000 0.4228 1
Ni1 Ni 0.0000 0.0000 0.0000 1
O1 O 0.0012 0.5006 0.7566 1
```

---

[3]
Density functional theory data (PBE with a Hubbard U) for a geometry-optimized Pr2Be2NiO6 structure.

Geometry as CIF:
```
data_Pr2Be2NiO6
_chemical_formula_sum 'Pr6 Be6 Ni3 O18'
_symmetry_space_group_name_H-M 'R -3 m'
_symmetry_Int_Tables_number 166
_symmetry_space_group_name_Hall '-R 3 2"'
_cell_length_a 5.2914
_cell_length_b 5.2914
_cell_length_c 15.6165
_cell_angle_alpha 90.00
_cell_angle_beta 90.00
_cell_angle_gamma 120.00
loop_
_atom_site_label
_atom_site_type_symbol
_atom_site_fract_x
_atom_site_fract_y
_atom_site_fract_z
_atom_site_occupancy
Pr1 Pr 0.0000 0.0000 0.2171 1
Be1 Be 0.0000 0.0000 0.4226 1
Ni1 Ni 0.0000 0.0000 0.0000 1
O1 O 0.0007 0.5003 0.2445 1
```

---

For each record above, in turn, the calculated size of the total moment values are 0.284; 0.182; 0.182 μB per atom.
For each record above, in turn, the calculated total energy values are -5.6287; -6.9975; -6.9989 eV/atom.